(1)
# InCuMo3 | Alexandria | GGA-PBE | optimized geometry
data_InCuMo3
_chemical_formula_sum 'In1 Cu1 Mo3'
_cell_length_a 4.8793
_cell_length_b 4.8793
_cell_length_c 4.8793
_cell_angle_alpha 90.00
_cell_angle_beta 90.00
_cell_angle_gamma 90.00
_symmetry_space_group_name_H-M 'P m -3 m'
_symmetry_Int_Tables_number 221
_symmetry_space_group_name_Hall '-P 4 2 3'
loop_
_atom_site_label
_atom_site_fract_x
_atom_site_fract_y
_atom_site_fract_z
_atom_site_occupancy
In1 0.0000 0.0000 0.0000 1
Cu1 0.5000 0.5000 0.5000 1
Mo1 0.0000 0.0000 0.5000 1
# * V: 116.2 Å³/cell
# * formation energy from the elements: 2.6399 eV/atom
# * DFT total energy: -5.2257 eV/atom
# * ΔE to the lowest computed polymorph: 1261.4 meV/atom

---

(2)
# InCu2Mo | Alexandria | GGA-PBE | optimized geometry
data_InCu2Mo
_chemical_formula_sum 'In3 Cu6 Mo3'
_cell_length_a 2.8784
_cell_length_b 2.8784
_cell_length_c 26.4551
_cell_angle_alpha 90.00
_cell_angle_beta 90.00
_cell_angle_gamma 120.00
_symmetry_space_group_name_H-M 'R 3 m'
_symmetry_Int_Tables_number 160
_symmetry_space_group_name_Hall 'R 3 -2"'
loop_
_atom_site_label
_atom_site_fract_x
_atom_site_fract_y
_atom_site_fract_z
_atom_site_occupancy
In1 0.0000 0.0000 0.0000 1
Cu1 0.0000 0.0000 0.4941 1
Cu2 0.0000 0.0000 0.7537 1
Mo1 0.0000 0.0000 0.2408 1
# * V: 189.8 Å³/cell
# * formation energy from the elements: 0.3864 eV/atom
# * DFT total energy: -5.0540 eV/atom

---

Question: The lowest DFT total energy belongs to which entry?
Answer: InCuMo3

---

Question: The highest DFT total energy belongs to which entry?
Answer: InCu2Mo

---

Question: What is the DFT total energy in the first record?
Answer: -5.2257 eV/atom

---

Question: What is the formation energy from the elements in the first record?
Answer: 2.6399 eV/atom